The following is a DFT calculation (PBE) of a geometry-optimized SrZnSO structure.

Cell: 7.6300 5.9866 6.6943 Å, 90.00 90.00 90.00°
Sites, in units of the cell vectors:
Zn1 0.3845 0.9240 0.3396
Zn2 0.8845 0.5760 0.6604
Zn3 0.1155 0.0760 0.8396
Zn4 0.6155 0.4240 0.1604
O1 0.9142 0.8662 0.7930
O2 0.4142 0.6338 0.2070
O3 0.5858 0.1338 0.2930
O4 0.0858 0.3662 0.7070
S1 0.1498 0.1148 0.1846
S2 0.3502 0.8852 0.6846
S3 0.6498 0.3852 0.8154
S4 0.8502 0.6148 0.3154
Sr1 0.3584 0.4038 0.5204
Sr2 0.8584 0.0962 0.4796
Sr3 0.6416 0.9038 0.9796
Sr4 0.1416 0.5962 0.0204

Calculated volume in Å³/f.u.: 76.4
Uncorrected energy in Ry per atom: -0.3517
Crystal system: orthorhombic